No. 1
# Ho4PuSi4 (PBE, optimized geometry)
data_Ho4PuSi4
_chemical_formula_sum 'Ho8 Pu2 Si8'
_space_group_name_H-M_alt 'P 42/n'
_space_group_IT_number 86
_cell_length_a 8.884
_cell_length_b 8.884
_cell_length_c 5.720
_cell_angle_alpha 90.00
_cell_angle_beta 90.00
_cell_angle_gamma 90.00
loop_
_space_group_symop_operation_xyz
'x,y,z'
'-x,-y,-z'
'-y,x+1/2,z+1/2'
'y,-x+1/2,-z+1/2'
'-x+1/2,-y+1/2,z'
'x+1/2,y+1/2,-z'
'y+1/2,-x,z+1/2'
'-y+1/2,x,-z+1/2'
loop_
_atom_site_label
_atom_site_type_symbol
_atom_site_fract_x
_atom_site_fract_y
_atom_site_fract_z
_atom_site_occupancy
Ho1 Ho 0.067 0.663 0.123 1
Pu1 Pu 0.250 0.250 0.250 1
Si1 Si 0.020 0.616 0.619 1
# * volume: 25.08 A^3/atom
# * magnetic moment: 6.63 μB/f.u.
# * total energy: -115.673 eV/cell


No. 2
# HoPuSi4 (PBE, optimized geometry)
data_HoPuSi4
_chemical_formula_sum 'Ho2 Pu2 Si8'
_space_group_name_H-M_alt 'I m m m'
_space_group_IT_number 71
_space_group_name_Hall '-I 2 2'
_cell_length_a 4.075
_cell_length_b 7.015
_cell_length_c 7.767
_cell_angle_alpha 90.00
_cell_angle_beta 90.00
_cell_angle_gamma 90.00
loop_
_atom_site_label
_atom_site_type_symbol
_atom_site_fract_x
_atom_site_fract_y
_atom_site_fract_z
_atom_site_occupancy
Ho1 Ho 0.000 0.000 0.000 1
Pu1 Pu 0.000 0.000 0.500 1
Si1 Si 0.000 0.334 0.248 1
# * distance to the lowest polymorph of the same formula: 0.0 kJ per mole of atoms
# * volume: 18.50 A^3/atom
# * magnetic moment: 5.37 μB/f.u.


No. 3
# Ho2PuSi (PBE, optimized geometry)
data_Ho2PuSi
_chemical_formula_sum 'Ho2 Pu1 Si1'
_space_group_name_H-M_alt 'P 4/m m m'
_space_group_IT_number 123
_space_group_name_Hall '-P 4 2'
_cell_length_a 4.647
_cell_length_b 4.647
_cell_length_c 4.418
_cell_angle_alpha 90.00
_cell_angle_beta 90.00
_cell_angle_gamma 90.00
loop_
_atom_site_label
_atom_site_type_symbol
_atom_site_fract_x
_atom_site_fract_y
_atom_site_fract_z
_atom_site_occupancy
Ho1 Ho 0.000 0.500 0.000 1
Pu1 Pu 0.000 0.000 0.500 1
Si1 Si 0.500 0.500 0.500 1
# * distance to the lowest polymorph of the same formula: 0.0 kJ per mole of atoms
# * volume: 23.85 A^3/atom
# * magnetic moment: 6.27 μB/f.u.


No. 4
# Ho2PuSi4 (PBE, optimized geometry)
data_Ho2PuSi4
_chemical_formula_sum 'Ho4 Pu2 Si8'
_space_group_name_H-M_alt 'I m m m'
_space_group_IT_number 71
_space_group_name_Hall '-I 2 2'
_cell_length_a 3.866
_cell_length_b 4.207
_cell_length_c 17.477
_cell_angle_alpha 90.00
_cell_angle_beta 90.00
_cell_angle_gamma 90.00
loop_
_atom_site_label
_atom_site_type_symbol
_atom_site_fract_x
_atom_site_fract_y
_atom_site_fract_z
_atom_site_occupancy
Ho1 Ho 0.000 0.000 0.183 1
Pu1 Pu 0.000 0.500 0.500 1
Si1 Si 0.000 0.000 0.352 1
Si2 Si 0.000 0.500 0.066 1
# * volume: 20.30 A^3/atom
# * magnetic moment: 5.22 μB/f.u.
# * total energy: -99.741 eV/cell


No. 5
# HoPuZnSi (PBE, optimized geometry)
data_HoPuZnSi
_chemical_formula_sum 'Ho4 Pu4 Zn4 Si4'
_space_group_name_H-M_alt 'F -4 3 m'
_space_group_IT_number 216
_space_group_name_Hall 'F -4 2 3'
_cell_length_a 7.030
_cell_length_b 7.030
_cell_length_c 7.030
_cell_angle_alpha 90.00
_cell_angle_beta 90.00
_cell_angle_gamma 90.00
loop_
_atom_site_label
_atom_site_type_symbol
_atom_site_fract_x
_atom_site_fract_y
_atom_site_fract_z
_atom_site_occupancy
Ho1 Ho 0.000 0.000 0.000 1
Pu1 Pu 0.000 0.000 0.500 1
Zn1 Zn 0.250 0.250 0.250 1
Si1 Si 0.250 0.250 0.750 1
# * volume: 21.72 A^3/atom
# * magnetic moment: 5.90 μB/f.u.
# * total energy: -107.568 eV/cell


No. 6
# Sm8Ho4Pu (PBE, optimized geometry)
data_Sm8Ho4Pu
_chemical_formula_sum 'Sm24 Ho12 Pu3'
_space_group_name_H-M_alt 'R -3 m'
_space_group_IT_number 166
_space_group_name_Hall '-R 3 2"'
_cell_length_a 11.0330
_cell_length_b 11.0330
_cell_length_c 13.4782
_cell_angle_alpha 90.00
_cell_angle_beta 90.00
_cell_angle_gamma 120.00
loop_
_atom_site_label
_atom_site_type_symbol
_atom_site_fract_x
_atom_site_fract_y
_atom_site_fract_z
_atom_site_occupancy
Sm1 Sm 0.0000 0.0000 0.2438 1
Sm2 Sm 0.0082 0.5041 0.7476 1
Ho1 Ho 0.0000 0.0000 0.0000 1
Ho2 Ho 0.0000 0.5000 0.0000 1
Pu1 Pu 0.0000 0.0000 0.5000 1
# * volume: 36.43 A^3/atom
# * ΔH_f (0 K): 0.50 eV/atom
# * magnetic moment: 6.65 μB/f.u.


No. 7
# Sm3Ho3Pu (PBE, optimized geometry)
data_Sm3Ho3Pu
_chemical_formula_sum 'Sm18 Ho18 Pu6'
_space_group_name_H-M_alt 'R -3'
_space_group_IT_number 148
_space_group_name_Hall '-R 3'
_cell_length_a 6.1618
_cell_length_b 6.1618
_cell_length_c 42.4645
_cell_angle_alpha 90.00
_cell_angle_beta 90.00
_cell_angle_gamma 120.00
loop_
_atom_site_label
_atom_site_type_symbol
_atom_site_fract_x
_atom_site_fract_y
_atom_site_fract_z
_atom_site_occupancy
Sm1 Sm 0.0000 0.3312 0.3689 1
Ho1 Ho 0.0003 0.3334 0.2301 1
Pu1 Pu 0.0000 0.0000 0.1666 1
# * volume: 33.25 A^3/atom
# * ΔH_f (0 K): 0.21 eV/atom
# * magnetic moment: 6.25 μB/f.u.


No. 8
# Sm5Ho6Pu (PBE, optimized geometry)
data_Sm5Ho6Pu
_chemical_formula_sum 'Sm10 Ho12 Pu2'
_space_group_name_H-M_alt 'C 1 2/m 1'
_space_group_IT_number 12
_cell_length_a 6.170
_cell_length_b 10.692
_cell_length_c 11.708
_cell_angle_alpha 90.00
_cell_angle_beta 100.12
_cell_angle_gamma 90.00
loop_
_space_group_symop_operation_xyz
'x,y,z'
'-x,-y,-z'
'-x,y,-z'
'x,-y,z'
'x+1/2,y+1/2,z'
'-x+1/2,-y+1/2,-z'
'-x+1/2,y+1/2,-z'
'x+1/2,-y+1/2,z'
loop_
_atom_site_label
_atom_site_type_symbol
_atom_site_fract_x
_atom_site_fract_y
_atom_site_fract_z
_atom_site_occupancy
Sm1 Sm 0.000 0.000 0.000 1
Sm2 Sm 0.000 0.167 0.500 1
Sm3 Sm 0.000 0.333 0.000 1
Ho1 Ho 0.247 0.336 0.747 1
Ho2 Ho 0.247 0.500 0.253 1
Pu1 Pu 0.000 0.500 0.500 1
# * volume: 31.68 A^3/atom
# * ΔH_f (0 K): 0.04 eV/atom
# * magnetic moment: 6.43 μB/f.u.


No. 9
# Sm9Ho4Pu (PBE, optimized geometry)
data_Sm9Ho4Pu
_chemical_formula_sum 'Sm18 Ho8 Pu2'
_space_group_name_H-M_alt 'P 63/m m c'
_space_group_IT_number 194
_space_group_name_Hall '-P 6c 2c'
_cell_length_a 9.8130
_cell_length_b 9.8130
_cell_length_c 11.1652
_cell_angle_alpha 90.00
_cell_angle_beta 90.00
_cell_angle_gamma 120.00
loop_
_atom_site_label
_atom_site_type_symbol
_atom_site_fract_x
_atom_site_fract_y
_atom_site_fract_z
_atom_site_occupancy
Sm1 Sm 0.0725 0.5363 0.2500 1
Sm2 Sm 0.2090 0.4180 0.5348 1
Ho1 Ho 0.0000 0.0000 0.0000 1
Ho2 Ho 0.1114 0.2229 0.2500 1
Pu1 Pu 0.3333 0.6667 0.7500 1
# * volume: 33.25 A^3/atom
# * ΔH_f (0 K): 0.17 eV/atom
# * magnetic moment: 5.55 μB/f.u.


No. 10
# Sm3Ho4Pu (PBE, optimized geometry)
data_Sm3Ho4Pu
_chemical_formula_sum 'Sm6 Ho8 Pu2'
_space_group_name_H-M_alt 'I m m m'
_space_group_IT_number 71
_space_group_name_Hall '-I 2 2'
_cell_length_a 3.424
_cell_length_b 11.580
_cell_length_c 12.842
_cell_angle_alpha 90.00
_cell_angle_beta 90.00
_cell_angle_gamma 90.00
loop_
_atom_site_label
_atom_site_type_symbol
_atom_site_fract_x
_atom_site_fract_y
_atom_site_fract_z
_atom_site_occupancy
Sm1 Sm 0.000 0.000 0.000 1
Sm2 Sm 0.000 0.500 0.236 1
Ho1 Ho 0.000 0.248 0.368 1
Pu1 Pu 0.000 0.000 0.500 1
# * volume: 31.83 A^3/atom
# * ΔH_f (0 K): 0.15 eV/atom
# * magnetic moment: 6.31 μB/f.u.


Which of these has the lowest volume?
HoPuSi4